Computed, not measured: crystalline LuInCuPd at its relaxed geometry at the PBE level of DFT.

Properties
theoretical density: 10.40 Mg/m³
energy above the lowest structure with this stoichiometry: 0.0 kJ/mol of atoms

extended XYZ file:
```
4
Lattice="0.6066 -0.1118 4.6596 2.1076 3.5899 2.1823 -2.4995 2.8638 2.7647" Properties=species:S:1:pos:R:3 pbc="T T T"
Cu 0.1610 4.7564 7.2050
In 0.0000 0.0000 0.0000
Lu 0.1073 3.1709 4.8033
Pd 0.0537 1.5855 2.4016
```

Computed, not measured: crystalline LuInCuPd at its relaxed geometry at the PBE level of DFT.

Properties
theoretical density: 10.06 Mg/m³
energy above the lowest structure with this stoichiometry: 22.5 kJ/mol of atoms

extended XYZ file:
```
4
Lattice="3.2975 1.7031 2.9693 -0.6381 4.2197 2.0923 -0.8921 0.2299 4.6628" Properties=species:S:1:pos:R:3 pbc="T T T"
Cu 1.3255 4.6145 7.2934
In 0.0000 0.0000 0.0000
Lu 0.4418 1.5382 2.4311
Pd 0.8837 3.0763 4.8623
```

Computed, not measured: crystalline Lu3In3CuPt2 at its relaxed geometry at the PBE level of DFT.

Properties
theoretical density: 11.81 Mg/m³
final energy: -5.011 eV per atom

extended XYZ file:
```
9
Lattice="7.6950 0.0000 0.0000 -3.8475 6.6641 0.0000 0.0000 0.0000 3.6283" Properties=species:S:1:pos:R:3 pbc="T T T"
Cu 0.0000 0.0000 0.0000
In 5.7117 0.0000 1.8142
In 0.9916 1.7176 1.8142
In -2.8559 4.9465 1.8142
Lu 3.1462 0.0000 0.0000
Lu -1.5731 2.7246 0.0000
Lu 2.2744 3.9394 0.0000
Pt 3.8475 2.2214 1.8142
Pt 0.0000 4.4427 1.8142
```

Computed, not measured: crystalline LuInCuPt at its relaxed geometry at the PBE level of DFT.

Properties
theoretical density: 12.33 Mg/m³
energy above the lowest structure with this stoichiometry: 0.0 kJ/mol of atoms

extended XYZ file:
```
4
Lattice="4.1464 0.4107 2.1954 0.1396 0.9701 4.6066 1.3810 -3.3021 3.0611" Properties=species:S:1:pos:R:3 pbc="T T T"
Cu 4.2502 -1.4410 7.3973
In 0.0000 0.0000 0.0000
Lu 2.8335 -0.9607 4.9315
Pt 1.4167 -0.4803 2.4658
```

Computed, not measured: crystalline LuInCuPt at its relaxed geometry at the PBE level of DFT.

Properties
theoretical density: 12.21 Mg/m³
energy above the lowest structure with this stoichiometry: 22.3 kJ/mol of atoms

extended XYZ file:
```
4
Lattice="-0.8250 -4.4383 -1.3933 0.7505 -3.5892 2.9791 -3.6614 -2.3940 1.7843" Properties=species:S:1:pos:R:3 pbc="T T T"
Cu -2.8019 -7.8162 2.5276
In 0.0000 0.0000 0.0000
Lu -0.9340 -2.6054 0.8425
Pt -1.8679 -5.2108 1.6851
```

Computed, not measured: crystalline Lu3In3Cu2Pt at its relaxed geometry at the PBE level of DFT.

Properties
theoretical density: 10.62 Mg/m³
final energy: -4.482 eV per atom

extended XYZ file:
```
9
Lattice="7.4544 0.0000 0.0000 -3.7272 6.4557 0.0000 0.0000 0.0000 3.8717" Properties=species:S:1:pos:R:3 pbc="T T T"
Cu 3.7272 2.1519 1.9359
Cu 0.0000 4.3038 1.9359
In 5.4505 0.0000 1.9359
In 1.0020 1.7354 1.9359
In -2.7252 4.7203 1.9359
Lu 2.9925 0.0000 0.0000
Lu -1.4962 2.5915 0.0000
Lu 2.2310 3.8641 0.0000
Pt 0.0000 0.0000 0.0000
```

Computed, not measured: crystalline LuInCuRe at its relaxed geometry at the PBE level of DFT.

Properties
theoretical density: 12.29 Mg/m³
energy above the lowest structure with this stoichiometry: 0.0 kJ/mol of atoms

extended XYZ file:
```
4
Lattice="-2.3991 -1.9206 3.5423 -4.6237 0.6998 0.3521 -2.9752 -3.5299 -0.8247" Properties=species:S:1:pos:R:3 pbc="T T T"
Cu -7.4985 -3.5630 2.3022
In 0.0000 0.0000 0.0000
Lu -4.9990 -2.3753 1.5348
Re -2.4995 -1.1877 0.7674
```

Computed, not measured: crystalline LuInCuRe at its relaxed geometry at the PBE level of DFT.

Properties
theoretical density: 12.24 Mg/m³
energy above the lowest structure with this stoichiometry: 24.5 kJ/mol of atoms

extended XYZ file:
```
4
Lattice="0.0000 3.3204 3.3204 3.3204 0.0000 3.3204 3.3204 3.3204 0.0000" Properties=species:S:1:pos:R:3 pbc="T T T"
Cu 4.9806 4.9806 4.9806
In 0.0000 0.0000 0.0000
Lu 1.6602 1.6602 1.6602
Re 3.3204 3.3204 3.3204
```

Total magnetization values, unit μB per formula unit, following the record order: 0.0; 0.0; 0.0; 0.0; 0.0; 0.0; 0.0; 0.0.